# Ca4ZnTe

A relaxed Ca4ZnTe crystal (PBE, Alexandria).

POSCAR file:
```
Ca4ZnTe
1.0
0.000 4.749 4.749
4.749 0.000 4.749
4.749 4.749 0.000
Ca Zn Te
4 1 1
Cartesian
1.184 1.184 1.184
3.565 3.565 1.184
3.565 1.184 3.565
1.184 3.565 3.565
4.749 4.749 4.749
7.124 7.124 7.124
```

Properties
The calculation puts the electronic total energy at -1.9605 eV/atom. Its space group is F-43m, No. 216. The calculation puts the uncorrected formation energy at 110 meV/atom.

---

# CaZnTe2

A relaxed CaZnTe2 crystal (PBE, Alexandria).

POSCAR file:
```
CaZnTe2
1.0
4.296 0.000 0.000
-2.148 3.720 0.000
0.000 0.000 21.346
Ca Zn Te
3 3 6
Cartesian
0.000 0.000 0.000
0.000 2.480 14.230
2.148 1.240 7.115
0.000 0.000 10.673
0.000 2.480 3.558
2.148 1.240 17.788
0.000 0.000 5.125
0.000 0.000 16.221
0.000 2.480 9.106
0.000 2.480 19.355
2.148 1.240 1.991
2.148 1.240 12.240
```

Properties
The calculation puts the electronic total energy at -3.2111 eV/atom. Its space group is R-3m, No. 166. The calculation puts the uncorrected formation energy at -821 meV/atom.

---

# CaZnTe2

A relaxed CaZnTe2 crystal (PBE, Alexandria).

POSCAR file:
```
CaZnTe2
1.0
4.220 0.000 0.000
0.000 3.908 0.000
-1.801 0.000 7.323
Ca Zn Te
1 1 2
Cartesian
0.000 0.000 0.000
1.210 0.000 3.662
0.513 1.954 5.512
1.906 1.954 1.811
```

Properties
The calculation puts the electronic total energy at -3.0684 eV/atom. Its space group is P2/m, No. 10. The calculation puts the uncorrected formation energy at -679 meV/atom.

---

# CaZnTe2

A relaxed CaZnTe2 crystal (PBE, Alexandria).

POSCAR file:
```
CaZnTe2
1.0
6.668 0.000 0.000
0.000 7.964 0.000
0.000 0.000 4.047
Ca Zn Te
2 2 4
Cartesian
0.000 0.000 0.000
3.334 3.982 0.000
0.000 3.982 0.000
3.334 0.000 0.000
1.667 1.991 2.024
1.667 5.973 2.024
5.001 1.991 2.024
5.001 5.973 2.024
```

Properties
The calculation puts the electronic total energy at -2.9693 eV/atom. Its space group is Cmmm, No. 65. The calculation puts the uncorrected formation energy at -580 meV/atom.

---

# CaZn3Te

A relaxed CaZn3Te crystal (PBE, Alexandria).

POSCAR file:
```
CaZn3Te
1.0
5.325 0.000 0.000
0.000 5.325 0.000
0.000 0.000 5.325
Ca Zn Te
1 3 1
Cartesian
0.000 0.000 0.000
0.000 2.662 2.662
2.662 0.000 2.662
2.662 2.662 0.000
2.662 2.662 2.662
```

Properties
The calculation puts the electronic total energy at -1.4563 eV/atom. Its space group is Pm-3m, No. 221. As for the relative energy among the computed polymorphs: 0.000 eV/atom. The calculation puts the uncorrected formation energy at 337 meV/atom.

---

# CaZnTe2

A relaxed CaZnTe2 crystal (PBE, Alexandria).

POSCAR file:
```
CaZnTe2
1.0
7.641 0.000 0.000
0.000 7.641 0.000
0.000 0.000 7.641
Ca Zn Te
4 4 8
Cartesian
0.000 0.000 0.000
0.000 3.820 3.820
3.820 0.000 3.820
3.820 3.820 0.000
1.910 1.910 5.730
1.910 5.730 1.910
5.730 1.910 1.910
5.730 5.730 5.730
0.000 0.000 3.820
0.000 3.820 0.000
1.910 1.910 1.910
1.910 5.730 5.730
3.820 0.000 0.000
3.820 3.820 3.820
5.730 1.910 5.730
5.730 5.730 1.910
```

Properties
The calculation puts the electronic total energy at -2.6880 eV/atom. Its space group is F-43m, No. 216. The calculation puts the uncorrected formation energy at -298 meV/atom.

---

# CaZnTe2

A relaxed CaZnTe2 crystal (PBE, Alexandria).

POSCAR file:
```
CaZnTe2
1.0
4.243 0.000 0.000
-2.121 3.674 0.000
0.000 0.000 21.918
Ca Zn Te
3 3 6
Cartesian
0.000 0.000 0.000
0.000 2.450 14.612
2.121 1.225 7.306
0.000 0.000 18.260
0.000 2.450 10.954
2.121 1.225 3.647
0.000 0.000 5.278
0.000 0.000 9.409
0.000 2.450 2.103
0.000 2.450 19.890
2.121 1.225 12.584
2.121 1.225 16.715
```

Properties
The calculation puts the electronic total energy at -3.1776 eV/atom. Its space group is R3m, No. 160. The calculation puts the uncorrected formation energy at -788 meV/atom.

---

# CaZnTe2

A relaxed CaZnTe2 crystal (PBE, Alexandria).

POSCAR file:
```
CaZnTe2
1.0
4.084 0.000 0.000
0.000 4.410 0.000
0.000 0.000 6.478
Ca Zn Te
1 1 2
Cartesian
0.000 0.000 0.000
0.000 2.205 3.239
2.042 0.000 3.239
2.042 2.205 0.000
```

Properties
The calculation puts the electronic total energy at -2.9790 eV/atom. Its space group is Pmmm, No. 47. The calculation puts the uncorrected formation energy at -589 meV/atom.

---

# CaZnTe2

A relaxed CaZnTe2 crystal (PBE, Alexandria).

POSCAR file:
```
CaZnTe2
1.0
4.115 0.000 0.000
0.000 4.115 0.000
0.000 0.000 6.457
Ca Zn Te
1 1 2
Cartesian
0.000 0.000 0.000
0.000 0.000 3.229
2.057 2.057 1.596
2.057 2.057 4.861
```

Properties
The calculation puts the electronic total energy at -2.9828 eV/atom. Its space group is P4/mmm, No. 123. The calculation puts the uncorrected formation energy at -593 meV/atom.

---

# CaZnTe2

A relaxed CaZnTe2 crystal (PBE, Alexandria).

POSCAR file:
```
CaZnTe2
1.0
3.887 0.000 0.000
0.000 4.129 0.000
0.000 0.000 14.325
Ca Zn Te
2 2 4
Cartesian
0.000 0.000 0.000
1.943 2.065 7.162
0.000 2.065 3.619
1.943 0.000 10.781
0.000 0.000 8.572
0.000 2.065 11.863
1.943 0.000 4.700
1.943 2.065 1.410
```

Properties
The calculation puts the electronic total energy at -3.0714 eV/atom. Its space group is Imm2, No. 44. The calculation puts the uncorrected formation energy at -682 meV/atom.

---

# Ca2ZnTe2

A relaxed Ca2ZnTe2 crystal (PBE, Alexandria).

POSCAR file:
```
Ca2ZnTe2
1.0
8.589 0.000 0.000
0.000 8.589 0.000
0.000 0.000 4.056
Ca Zn Te
4 2 4
Cartesian
1.308 2.987 0.000
2.987 7.282 0.000
5.603 1.308 0.000
7.282 5.603 0.000
0.000 0.000 2.028
4.295 4.295 2.028
1.312 5.607 2.028
2.983 1.312 2.028
5.607 7.277 2.028
7.277 2.983 2.028
```

Properties
The calculation puts the electronic total energy at -3.2666 eV/atom. Its space group is P4/mbm, No. 127. The calculation puts the uncorrected formation energy at -954 meV/atom.

---

# Ca3ZnTe

A relaxed Ca3ZnTe crystal (PBE, Alexandria).

POSCAR file:
```
Ca3ZnTe
1.0
5.594 0.000 0.000
0.000 5.594 0.000
0.000 0.000 5.594
Ca Zn Te
3 1 1
Cartesian
0.000 0.000 2.797
0.000 2.797 0.000
2.797 0.000 0.000
0.000 0.000 0.000
2.797 2.797 2.797
```

Properties
The calculation puts the electronic total energy at -2.4299 eV/atom. Its space group is Pm-3m, No. 221. As for the relative energy among the computed polymorphs: 0.000 eV/atom. The calculation puts the uncorrected formation energy at -346 meV/atom.